Compound: Ca9FeP7O28
Source: Alexandria
Functional: GGA+U
Structure: optimized geometry

abc: 13.877 13.877 13.877
angles: 44.17 44.17 44.17
Element x y z (fractional)
Ca (0.043, 0.464, 0.493)
Ca (0.243, 0.820, 0.833)
Ca (0.320, 0.743, 0.333)
Ca (0.333, 0.320, 0.743)
Ca (0.350, 0.923, 0.944)
Ca (0.423, 0.850, 0.444)
Ca (0.444, 0.423, 0.850)
Ca (0.464, 0.493, 0.043)
Ca (0.493, 0.043, 0.464)
Ca (0.543, 0.993, 0.964)
Ca (0.743, 0.333, 0.320)
Ca (0.820, 0.833, 0.243)
Ca (0.833, 0.243, 0.820)
Ca (0.850, 0.444, 0.423)
Ca (0.923, 0.944, 0.350)
Ca (0.944, 0.350, 0.923)
Ca (0.964, 0.543, 0.993)
Ca (0.993, 0.964, 0.543)
Fe (0.398, 0.398, 0.398)
Fe (0.898, 0.898, 0.898)
P (0.077, 0.587, 0.622)
P (0.087, 0.577, 0.122)
P (0.122, 0.087, 0.577)
P (0.129, 0.129, 0.129)
P (0.177, 0.711, 0.214)
P (0.211, 0.677, 0.714)
P (0.214, 0.177, 0.711)
P (0.577, 0.122, 0.087)
P (0.587, 0.622, 0.077)
P (0.622, 0.077, 0.587)
P (0.629, 0.629, 0.629)
P (0.677, 0.714, 0.211)
P (0.711, 0.214, 0.177)
P (0.714, 0.211, 0.677)
O (0.004, 0.288, 0.135)
O (0.004, 0.750, 0.308)
O (0.010, 0.564, 0.283)
O (0.016, 0.758, 0.023)
O (0.023, 0.016, 0.758)
O (0.027, 0.760, 0.542)
O (0.032, 0.766, 0.786)
O (0.039, 0.496, 0.137)
O (0.042, 0.260, 0.527)
O (0.045, 0.232, 0.761)
O (0.064, 0.510, 0.783)
O (0.088, 0.088, 0.088)
O (0.135, 0.004, 0.288)
O (0.137, 0.039, 0.496)
O (0.213, 0.785, 0.223)
O (0.223, 0.213, 0.785)
O (0.232, 0.761, 0.045)
O (0.250, 0.504, 0.808)
O (0.258, 0.516, 0.523)
O (0.260, 0.527, 0.042)
O (0.261, 0.732, 0.545)
O (0.266, 0.532, 0.286)
O (0.283, 0.010, 0.564)
O (0.285, 0.713, 0.723)
O (0.286, 0.266, 0.532)
O (0.288, 0.135, 0.004)
O (0.308, 0.004, 0.750)
O (0.496, 0.137, 0.039)
O (0.504, 0.635, 0.788)
O (0.504, 0.808, 0.250)
O (0.510, 0.783, 0.064)
O (0.516, 0.523, 0.258)
O (0.523, 0.258, 0.516)
O (0.527, 0.042, 0.260)
O (0.532, 0.286, 0.266)
O (0.539, 0.637, 0.996)
O (0.542, 0.027, 0.760)
O (0.545, 0.261, 0.732)
O (0.564, 0.283, 0.010)
O (0.588, 0.588, 0.588)
O (0.635, 0.788, 0.504)
O (0.637, 0.996, 0.539)
O (0.713, 0.723, 0.285)
O (0.723, 0.285, 0.713)
O (0.732, 0.545, 0.261)
O (0.750, 0.308, 0.004)
O (0.758, 0.023, 0.016)
O (0.760, 0.542, 0.027)
O (0.761, 0.045, 0.232)
O (0.766, 0.786, 0.032)
O (0.783, 0.064, 0.510)
O (0.785, 0.223, 0.213)
O (0.786, 0.032, 0.766)
O (0.788, 0.504, 0.635)
O (0.808, 0.250, 0.504)
O (0.996, 0.539, 0.637)

Calculated values
For the total energy, the calculation gives -325.80 eV per formula unit.